CaMg2Sb | PBE | optimized geometry

The structure in POSCAR format:
```
CaMg2Sb
1.0
-3.345 -4.120 2.493
-1.881 -4.002 -3.851
5.263 2.260 1.257
Ca Mg Sb
1 2 1
Direct
0.750 0.250 0.500
0.000 0.000 0.000
0.250 0.750 0.500
0.500 0.500 0.000
```

Calculated values
The density of states at the Fermi level is 2.318 states/eV/cell. The energy above the lowest structure with this stoichiometry is 114.9 meV/atom. The space group is No. 119. The calculation puts the formation energy from raw total energies at -0.31 eV per atom.

---

RbSr2LiRh | PBE | optimized geometry

The structure in POSCAR format:
```
RbSr2LiRh
1.0
5.875 0.000 0.000
0.000 5.875 0.000
0.000 0.000 5.616
Sr Rh Rb Li
2 1 1 1
Direct
0.000 0.500 0.000
0.500 0.000 0.000
0.000 0.000 0.000
0.500 0.500 0.500
0.000 0.000 0.500
```

Calculated values
The density of states at the Fermi level is 2.324 states/eV/cell. The space group is No. 123. The value obtained for the calculated formation energy is 0.039 eV per atom.

---

Pa2TcPd | PBE | optimized geometry

The structure in POSCAR format:
```
Pa2TcPd
1.0
3.323 0.000 0.000
0.000 3.323 0.000
0.000 0.000 7.544
Pa Tc Pd
2 1 1
Direct
0.000 0.000 0.765
0.000 0.000 0.235
0.500 0.500 0.000
0.500 0.500 0.500
```

Calculated values
The density of states at the Fermi level is 6.451 states/eV/cell. The energy above the lowest structure with this stoichiometry is 0.0 meV/atom. The space group is No. 123. The value obtained for the calculated formation energy is -0.293 eV per atom.

---

PmZnGa2 | PBE | optimized geometry

The structure in POSCAR format:
```
PmZnGa2
1.0
4.310 0.000 0.000
0.000 4.354 0.000
0.000 0.000 4.354
Zn Ga Pm
1 2 1
Direct
0.500 0.500 0.500
0.000 0.000 0.500
0.000 0.500 0.000
0.500 0.000 0.000
```

Calculated values
The density of states at the Fermi level is 2.248 states/eV/cell. The energy above the lowest structure with this stoichiometry is 98.3 meV/atom. The space group is No. 123. The value obtained for the calculated formation energy is -0.436 eV per atom.

---

ZnCd2InP | PBE | optimized geometry

The structure in POSCAR format:
```
ZnCd2InP
1.0
-2.660 -4.236 -2.773
3.037 -3.287 2.108
-3.648 -0.569 4.368
P Zn Cd In
1 1 2 1
Direct
0.000 0.500 0.000
0.500 0.500 0.500
0.000 0.000 0.500
0.500 0.000 0.000
0.000 0.000 0.000
```

Calculated values
The density of states at the Fermi level is 2.123 states/eV/cell. The space group is No. 123. The value obtained for the calculated formation energy is 0.653 eV per atom.

---

AgHPd2Cl | PBE | optimized geometry

The structure in POSCAR format:
```
AgHPd2Cl
1.0
-3.450 -3.802 -0.679
-0.231 -0.631 4.713
-3.854 3.449 0.273
H Pd Ag Cl
1 2 1 1
Direct
0.500 0.500 0.500
0.000 0.000 0.500
0.500 0.000 0.000
0.000 0.000 0.000
0.000 0.500 0.000
```

Calculated values
The density of states at the Fermi level is 2.701 states/eV/cell. The space group is No. 123.

---

no.,total DFT energy (no corrections) (eV per atom)
1,-2.63
2,-2.68
3,-8.93
4,-3.46
5,-1.60
6,-2.48